Below is PrSm8Mg6 after structural relaxation, with properties calculated at the PBE-GGA level.

Structure (CIF):
```
data_PrSm8Mg6
_chemical_formula_sum 'Pr1 Sm8 Mg6'
_space_group_name_H-M_alt 'P 1'
_space_group_IT_number 1
_space_group_name_Hall 'P 1'
_cell_length_a 9.2625
_cell_length_b 9.2625
_cell_length_c 8.4755
_cell_angle_alpha 56.88
_cell_angle_beta 56.88
_cell_angle_gamma 60.00
loop_
_atom_site_label
_atom_site_type_symbol
_atom_site_fract_x
_atom_site_fract_y
_atom_site_fract_z
Pr1 Pr 0.0000 0.0000 0.0000
Sm1 Sm 0.4518 0.7846 0.6451
Sm2 Sm 0.5482 0.2154 0.3549
Sm3 Sm 0.6663 0.6663 0.0011
Sm4 Sm 0.8814 0.5482 0.3549
Sm5 Sm 0.1186 0.4518 0.6451
Sm6 Sm 0.7846 0.1186 0.6451
Sm7 Sm 0.3337 0.3337 0.9989
Sm8 Sm 0.2154 0.8814 0.3549
Mg1 Mg 0.3820 0.0468 0.8591
Mg2 Mg 0.9532 0.2878 0.1409
Mg3 Mg 0.6180 0.9532 0.1409
Mg4 Mg 0.2878 0.6180 0.1409
Mg5 Mg 0.7122 0.3820 0.8591
Mg6 Mg 0.0468 0.7122 0.8591
```

For the energy of formation from the pure elements, the calculation gives 0.1636 eV/atom.